The following is a PBE calculation of LiHIr3 after structural relaxation, from the Alexandria database.

SG: No. 221
Volume, Å³/cell: 68.6
Distance to the lowest polymorph of the same formula, meV/atom: 1655
Total energy, eV/atom: -4.593

Unit cell a=4.093 b=4.093 c=4.093 alpha=90.00 beta=90.00 gamma=90.00
Element x y z (fractional)
H 0.500 0.500 0.500
Ir 0.000 0.500 0.000
Ir 0.000 0.000 0.500
Ir 0.500 0.000 0.000
Li 0.000 0.000 0.000